First-principles (PBE+U) data for a relaxed structure of Co2TeO, as listed in OQMD via LeMat-Bulk.

The structure in POSCAR format:
```
Co2TeO
1.0
6.0053 0.0000 0.0000
0.0000 3.5383 0.0000
0.0000 0.0000 12.7256
Co O Te
8 4 4
direct
0.2366 0.7500 0.0879
0.5892 0.2500 0.2107
0.0892 0.2500 0.2893
0.7366 0.7500 0.4121
0.2634 0.2500 0.5879
0.9108 0.7500 0.7107
0.4108 0.7500 0.7893
0.7634 0.2500 0.9121
0.2787 0.2500 0.1670
0.7787 0.2500 0.3330
0.2213 0.7500 0.6670
0.7213 0.7500 0.8330
0.7778 0.7500 0.0838
0.2778 0.7500 0.4162
0.7222 0.2500 0.5838
0.2222 0.2500 0.9162
```

Offset from the most stable computed form ... 0.000 eV/atom
M_tot ... 0.000 μB per formula unit
SG ... Pnma